Entry 1:
This record from the Alexandria database describes a geometry-optimized InAsOs2 structure. The functional is PBE.

a b c (Å): 4.4697 4.4697 3.1841
angles (deg): 90.00 90.00 90.00
Last column: nearest neighbours and their distance in Å.
Fractional coordinates of all 4 atoms:
In (0.0000, 0.0000, 0.0000)  8 Os 2.74
As (0.5000, 0.5000, 0.0000)  8 Os 2.74
Os (0.0000, 0.5000, 0.5000)  4 As 2.74, 4 In 2.74
Os (0.5000, 0.0000, 0.5000)  4 As 2.74, 4 In 2.74

- Space-group type: P4/mmm
- DFT formation energy: 587 meV per atom
- DFT total energy: -6.875 eV per atom
- ΔE to the lowest computed polymorph: 0.288 eV/atom
- Spin magnetization: 0.0 μB/f.u.

Entry 2:
This record from the Alexandria database describes a geometry-optimized In2AsOs structure. The functional is PBE.

a b c (Å): 5.0285 5.0285 3.0959
angles (deg): 90.00 90.00 104.61
Last column: nearest neighbours and their distance in Å.
Fractional coordinates of all 4 atoms:
In (0.0000, 0.5000, 0.0000)  4 Os 2.95, 4 As 2.95, 4 In 3.07-3.10
In (0.5000, 0.0000, 0.0000)  4 Os 2.95, 4 As 2.95, 4 In 3.07-3.10
As (0.0000, 0.0000, 0.5000)  8 In 2.95, 2 Os 3.07, 2 As 3.10
Os (0.5000, 0.5000, 0.5000)  8 In 2.95, 2 As 3.07, 2 Os 3.10

- Space-group type: Cmmm
- DFT formation energy: 512 meV per atom
- DFT total energy: -4.827 eV per atom
- Spin magnetization: 0.0 μB/f.u.

Entry 3:
This record from the Alexandria database describes a geometry-optimized In2AsOs structure. The functional is PBE.

a b c (Å): 3.4894 4.4581 4.9730
angles (deg): 90.00 90.00 90.00
Last column: nearest neighbours and their distance in Å.
Fractional coordinates of all 4 atoms:
In (0.0000, 0.0000, 0.0000)  4 Os 2.83, 4 In 3.04
In (0.5000, 0.0000, 0.5000)  4 As 2.83, 4 In 3.04
As (0.0000, 0.5000, 0.5000)  4 In 2.83, 4 Os 3.04
Os (0.5000, 0.5000, 0.0000)  4 In 2.83, 4 As 3.04

- Space-group type: Pmmm
- DFT formation energy: 623 meV per atom
- DFT total energy: -4.716 eV per atom
- Spin magnetization: 0.0 μB/f.u.